! UCuO4, relaxed, DFT PBE; values from VASP
! Uncorrected energy   -8.070 eV per atom
! Density of states at the Fermi level   0.05 states/eV/atom
! Uncorrected formation energy   -2.201 eV per atom
&SYSTEM
  ibrav = 0, nat = 12, ntyp = 3
/
ATOMIC_SPECIES
U 238.03 U.upf
Cu 63.55 Cu.upf
O 16.00 O.upf
CELL_PARAMETERS angstrom
5.515 0.000 0.000
0.000 5.031 0.000
-2.295 0.000 5.826
ATOMIC_POSITIONS angstrom
U 0.000 0.000 0.000
U -1.148 2.516 2.913
Cu 1.610 0.000 2.913
Cu 2.757 2.516 0.000
O 0.163 0.922 1.956
O -0.984 1.594 4.869
O 0.400 3.571 3.328
O 1.548 3.976 0.414
O 1.672 1.056 5.412
O 2.819 1.460 2.499
O 4.204 3.438 0.958
O 3.056 4.109 3.871